No. 1
LiIn2Br, relaxed, DFT PBE; crystal system = tetragonal; space-group type = P4/mmm, No. 123; energy above the most stable polymorph in this dataset = 142 meV per atom; Fermi-level density of states = 3.055 states/eV per cell
1.0
4.124 0.000 0.000
0.000 4.124 0.000
0.000 0.000 7.248
Li In Br
1 2 1
direct
0.000 0.000 0.000 Li
0.000 0.500 0.500 In
0.500 0.000 0.500 In
0.500 0.500 0.000 Br


No. 2
LiIn3Br6, relaxed, DFT PBE; crystal system = monoclinic; space-group type = P2_1/c, No. 14
1.0
7.412 0.000 0.000
0.000 7.797 0.000
-7.344 0.000 10.712
Li In Br
2 6 12
direct
0.000 0.000 0.000 Li
0.000 0.500 0.500 Li
0.226 0.081 0.749 In
0.226 0.419 0.249 In
0.500 0.000 0.500 In
0.500 0.500 0.000 In
0.774 0.581 0.751 In
0.774 0.919 0.251 In
0.161 0.193 0.461 Br
0.161 0.307 0.961 Br
0.270 0.705 0.463 Br
0.270 0.795 0.963 Br
0.333 0.008 0.251 Br
0.333 0.492 0.751 Br
0.667 0.508 0.249 Br
0.667 0.992 0.749 Br
0.730 0.205 0.037 Br
0.730 0.295 0.537 Br
0.839 0.693 0.039 Br
0.839 0.807 0.539 Br


No. 3
LiIn2Br, relaxed, DFT PBE; crystal system = trigonal; space-group type = R-3m, No. 166; energy above the most stable polymorph in this dataset = 307 meV per atom; Fermi-level density of states = 3.164 states/eV per cell
1.0
1.828 1.055 8.771
-1.828 1.055 8.771
0.000 -2.110 8.771
Li In Br
1 2 1
direct
0.000 0.000 0.000 Li
0.256 0.256 0.256 In
0.744 0.744 0.744 In
0.500 0.500 0.500 Br


No. 4
LiIn3Br9, relaxed, DFT PBE; crystal system = monoclinic; space-group type = Cc, No. 9; Fermi-level density of states = 2.002 states/eV per cell
1.0
9.103 -5.932 0.000
9.103 5.932 0.000
-5.019 0.000 9.773
Li In Br
2 6 18
direct
0.067 0.933 0.500 Li
0.933 0.067 0.000 Li
0.063 0.360 0.678 In
0.360 0.063 0.178 In
0.423 0.684 0.321 In
0.684 0.423 0.821 In
0.800 0.880 0.123 In
0.880 0.800 0.623 In
0.011 0.506 0.515 Br
0.101 0.899 0.728 Br
0.113 0.202 0.078 Br
0.170 0.461 0.921 Br
0.182 0.708 0.331 Br
0.202 0.113 0.578 Br
0.347 0.806 0.117 Br
0.442 0.555 0.718 Br
0.461 0.170 0.421 Br
0.506 0.011 0.015 Br
0.553 0.818 0.543 Br
0.555 0.442 0.218 Br
0.708 0.182 0.831 Br
0.806 0.347 0.617 Br
0.818 0.553 0.043 Br
0.822 0.853 0.374 Br
0.853 0.822 0.874 Br
0.899 0.101 0.228 Br


No. 5
LiIn2Br, relaxed, DFT PBE; crystal system = tetragonal; space-group type = I-42d, No. 122; energy above the most stable polymorph in this dataset = 303 meV per atom; Fermi-level density of states = 3.825 states/eV per cell
1.0
-4.308 4.308 3.001
4.308 -4.308 3.001
4.308 4.308 -3.001
Li In Br
2 4 2
direct
0.000 0.000 0.000 Li
0.750 0.250 0.500 Li
0.103 0.625 0.978 In
0.375 0.353 0.478 In
0.647 0.125 0.022 In
0.875 0.897 0.522 In
0.250 0.750 0.500 Br
0.500 0.500 0.000 Br


No. 6
Li2In2Br7, relaxed, DFT PBE; crystal system = monoclinic; space-group type = C2/m, No. 12; energy above the most stable polymorph in this dataset = 25 meV per atom; Fermi-level density of states = 3.784 states/eV per cell
1.0
4.201 -6.674 0.000
4.201 6.674 0.000
-0.125 0.000 7.661
Li In Br
2 2 7
direct
0.243 0.757 0.000 Li
0.757 0.243 0.000 Li
0.207 0.207 0.643 In
0.793 0.793 0.357 In
0.077 0.419 0.830 Br
0.109 0.109 0.289 Br
0.419 0.077 0.830 Br
0.500 0.500 0.500 Br
0.581 0.923 0.170 Br
0.891 0.891 0.711 Br
0.923 0.581 0.170 Br


No. 7
LiInBr3, relaxed, DFT PBE; crystal system = cubic; space-group type = Pm-3m, No. 221; Fermi-level density of states = 0.999 states/eV per cell
1.0
5.665 0.000 0.000
0.000 5.665 0.000
0.000 0.000 5.665
Li In Br
1 1 3
direct
0.000 0.000 0.000 Li
0.500 0.500 0.500 In
0.000 0.500 0.500 Br
0.500 0.000 0.500 Br
0.500 0.500 0.000 Br


No. 8
LiInBr, relaxed, DFT PBE; crystal system = trigonal; space-group type = P3m1, No. 156; energy above the most stable polymorph in this dataset = 24 meV per atom; Fermi-level density of states = 0.357 states/eV per cell
1.0
3.792 0.000 0.000
-1.896 3.284 0.000
0.000 0.000 6.354
Li In Br
1 1 1
direct
0.000 0.000 0.000 Li
0.667 0.333 0.371 In
0.333 0.667 0.824 Br


No. 9
LiIn2Br8, relaxed, DFT PBE; crystal system = monoclinic; space-group type = C2/m, No. 12; Fermi-level density of states = 9.830 states/eV per cell
1.0
6.958 -4.718 0.000
6.958 4.718 0.000
-1.359 0.000 6.357
Li In Br
1 2 8
direct
0.000 0.000 0.000 Li
0.181 0.181 0.649 In
0.819 0.819 0.351 In
0.128 0.714 0.249 Br
0.178 0.178 0.255 Br
0.286 0.872 0.751 Br
0.358 0.358 0.836 Br
0.642 0.642 0.164 Br
0.714 0.128 0.249 Br
0.822 0.822 0.745 Br
0.872 0.286 0.751 Br


No. 10
LiInBr, relaxed, DFT PBE; crystal system = orthorhombic; space-group type = Fmm2, No. 42; energy above the most stable polymorph in this dataset = 0 meV per atom; Fermi-level density of states = 0.522 states/eV per cell
1.0
0.000 2.479 6.731
2.469 0.000 6.731
2.469 2.479 0.000
Li In Br
1 1 1
direct
0.000 0.000 0.000 Li
0.306 0.306 0.694 In
0.550 0.550 0.450 Br


No. 11
LiIn2Br, relaxed, DFT PBE; crystal system = tetragonal; space-group type = P4/mmm, No. 123; energy above the most stable polymorph in this dataset = 289 meV per atom; Fermi-level density of states = 1.151 states/eV per cell
1.0
3.756 0.000 0.000
0.000 3.756 0.000
0.000 0.000 7.314
Li In Br
1 2 1
direct
0.000 0.000 0.000 Li
0.500 0.500 0.209 In
0.500 0.500 0.791 In
0.000 0.000 0.500 Br


No. 12
LiIn2Br, relaxed, DFT PBE; crystal system = cubic; space-group type = F-43m, No. 216; energy above the most stable polymorph in this dataset = 369 meV per atom; Fermi-level density of states = 3.946 states/eV per cell
1.0
0.000 3.788 3.788
3.788 0.000 3.788
3.788 3.788 0.000
Li In Br
1 2 1
direct
0.000 0.000 0.000 Li
0.250 0.250 0.250 In
0.500 0.500 0.500 In
0.750 0.750 0.750 Br


No. 13
Li2InBr2, relaxed, DFT PBE; crystal system = tetragonal; space-group type = I4/mmm, No. 139; energy above the most stable polymorph in this dataset = 0 meV per atom; Fermi-level density of states = 2.737 states/eV per cell
1.0
-2.503 2.503 5.813
2.503 -2.503 5.813
2.503 2.503 -5.813
Li In Br
2 1 2
direct
0.178 0.178 0.000 Li
0.822 0.822 0.000 Li
0.500 0.500 0.000 In
0.250 0.750 0.500 Br
0.750 0.250 0.500 Br


No. 14
LiIn3Br4, relaxed, DFT PBE; crystal system = orthorhombic; space-group type = Pnma, No. 62; energy above the most stable polymorph in this dataset = 0 meV per atom; Fermi-level density of states = 0.000 states/eV per cell
1.0
9.983 0.000 0.000
0.000 11.327 0.000
0.000 0.000 9.745
Li In Br
4 12 16
direct
0.184 0.250 0.025 Li
0.316 0.750 0.525 Li
0.684 0.250 0.475 Li
0.816 0.750 0.975 Li
0.048 0.250 0.617 In
0.105 0.563 0.810 In
0.105 0.937 0.810 In
0.395 0.063 0.310 In
0.395 0.437 0.310 In
0.452 0.750 0.117 In
0.548 0.250 0.883 In
0.605 0.563 0.690 In
0.605 0.937 0.690 In
0.895 0.063 0.190 In
0.895 0.437 0.190 In
0.952 0.750 0.383 In
0.051 0.750 0.063 Br
0.165 0.250 0.286 Br
0.174 0.574 0.469 Br
0.174 0.926 0.469 Br
0.326 0.074 0.969 Br
0.326 0.426 0.969 Br
0.335 0.750 0.786 Br
0.449 0.250 0.563 Br
0.551 0.750 0.437 Br
0.665 0.250 0.214 Br
0.674 0.574 0.031 Br
0.674 0.926 0.031 Br
0.826 0.074 0.531 Br
0.826 0.426 0.531 Br
0.835 0.750 0.714 Br
0.949 0.250 0.937 Br


No. 15
Li2In2Br, relaxed, DFT PBE; crystal system = tetragonal; space-group type = P4/mbm, No. 127; energy above the most stable polymorph in this dataset = 0 meV per atom; Fermi-level density of states = 3.341 states/eV per cell
1.0
8.272 0.000 0.000
0.000 8.272 0.000
0.000 0.000 3.554
Li In Br
4 4 2
direct
0.160 0.340 0.000 Li
0.340 0.840 0.000 Li
0.660 0.160 0.000 Li
0.840 0.660 0.000 Li
0.141 0.641 0.500 In
0.359 0.141 0.500 In
0.641 0.859 0.500 In
0.859 0.359 0.500 In
0.000 0.000 0.500 Br
0.500 0.500 0.500 Br


No. 16
Li2In2Br, relaxed, DFT PBE; crystal system = tetragonal; space-group type = I4/mmm, No. 139; energy above the most stable polymorph in this dataset = 116 meV per atom; Fermi-level density of states = 3.583 states/eV per cell
1.0
-2.157 2.157 7.176
2.157 -2.157 7.176
2.157 2.157 -7.176
Li In Br
2 2 1
direct
0.250 0.750 0.500 Li
0.750 0.250 0.500 Li
0.098 0.098 0.000 In
0.902 0.902 0.000 In
0.500 0.500 0.000 Br


No. 17
LiIn2Br, relaxed, DFT PBE; crystal system = tetragonal; space-group type = I-4m2, No. 119; energy above the most stable polymorph in this dataset = 262 meV per atom; Fermi-level density of states = 1.058 states/eV per cell
1.0
-2.321 2.321 5.024
2.321 -2.321 5.024
2.321 2.321 -5.024
Li In Br
1 2 1
direct
0.000 0.000 0.000 Li
0.500 0.500 0.000 In
0.750 0.250 0.500 In
0.250 0.750 0.500 Br


No. 18
LiIn2Br, relaxed, DFT PBE; crystal system = tetragonal; space-group type = P4mm, No. 99; energy above the most stable polymorph in this dataset = 2 meV per atom; Fermi-level density of states = 0.860 states/eV per cell
1.0
3.495 0.000 0.000
0.000 3.495 0.000
0.000 0.000 9.014
Li In Br
1 2 1
direct
0.000 0.000 0.000 Li
0.000 0.000 0.440 In
0.500 0.500 0.690 In
0.500 0.500 0.073 Br


No. 19
Li5InBr8, relaxed, DFT PBE; crystal system = cubic; space-group type = F-43m, No. 216; Fermi-level density of states = 0.000 states/eV per cell
1.0
0.000 5.699 5.699
5.699 0.000 5.699
5.699 5.699 0.000
Li In Br
5 1 8
direct
0.000 0.000 0.000 Li
0.068 0.644 0.644 Li
0.644 0.068 0.644 Li
0.644 0.644 0.068 Li
0.644 0.644 0.644 Li
0.250 0.250 0.250 In
0.380 0.380 0.380 Br
0.380 0.380 0.859 Br
0.380 0.859 0.380 Br
0.390 0.870 0.870 Br
0.859 0.380 0.380 Br
0.870 0.390 0.870 Br
0.870 0.870 0.390 Br
0.870 0.870 0.870 Br


No. 20
LiIn2Br, relaxed, DFT PBE; crystal system = orthorhombic; space-group type = Cmmm, No. 65; energy above the most stable polymorph in this dataset = 325 meV per atom; Fermi-level density of states = 1.209 states/eV per cell
1.0
1.982 -2.911 0.000
1.982 2.911 0.000
0.000 0.000 8.827
Li In Br
1 2 1
direct
0.000 0.000 0.000 Li
0.500 0.500 0.232 In
0.500 0.500 0.768 In
0.000 0.000 0.500 Br


What formation energy from raw total energies values result from the calculations? In sequence: -0.383 -0.872 -0.218 -0.850 -0.222 -0.957 -0.757 -0.691 -0.768 -0.715 -0.236 -0.156 -0.796 -0.849 -0.245 -0.130 -0.263 -0.522 -1.289 -0.200 eV/atom.
What density values result from the calculations? In sequence: 4.3 4.5 5.2 3.4 4.7 3.1 3.3 4.2 3.5 4.1 5.1 4.8 3.3 4.0 4.4 4.0 4.9 4.8 3.5 5.2 g cm⁻³.